Here is crystalline PrSmErIn at its relaxed geometry from Alexandria via LeMat-Bulk. Energies are from PBE.

Output
The calculation puts the spin magnetization at 1.7 μB/cell. The calculation puts the total DFT energy (no corrections) at -4.353 eV/atom. The formation energy is -15 kJ/mol of atoms.

```
data_PrSmErIn
_cell_length_a 7.842
_cell_length_b 7.842
_cell_length_c 7.842
_cell_angle_alpha 90.00
_cell_angle_beta 90.00
_cell_angle_gamma 90.00
_space_group_name_H-M_alt 'F -4 3 m'
_space_group_IT_number 216
_space_group_name_Hall 'F -4 2 3'
loop_
_atom_site_label
_atom_site_type_symbol
_atom_site_fract_x
_atom_site_fract_y
_atom_site_fract_z
_atom_site_occupancy
Pr1 Pr 0.000 0.000 0.000 1
Sm1 Sm 0.000 0.000 0.500 1
Er1 Er 0.250 0.250 0.250 1
In1 In 0.250 0.250 0.750 1
```